Record 1
Here is a geometry-optimized DyAgPb structure from the Alexandria database. Energies are from GGA-PBE.

Unit cell a=4.9237 b=4.9237 c=3.5337 alpha=90.00 beta=90.00 gamma=120.00
Space group P3m1 (No. 156)
One atom of each set of equivalent atoms:
Dy 0.0000 0.0000 0.0000 (multiplicity 1)
Ag 0.3333 0.6667 0.4909 (multiplicity 1)
Pb 0.6667 0.3333 0.5112 (multiplicity 1)

Output
**DOS(E_F)**: 1.99 states/eV/f.u.
**Energy relative to the elements**: -323 meV/atom

***

Record 2
Here is a geometry-optimized Dy4Ag3Pb structure from the Alexandria database. Energies are from GGA-PBE.

Unit cell a=5.1940 b=5.1940 c=14.9077 alpha=90.00 beta=90.00 gamma=90.00
Space group I4/mmm (No. 139)
One atom of each set of equivalent atoms:
Dy 0.0000 0.5000 0.1305 (multiplicity 8)
Ag 0.0000 0.0000 0.0000 (multiplicity 2)
Ag 0.0000 0.0000 0.2463 (multiplicity 4)
Pb 0.0000 0.0000 0.5000 (multiplicity 2)

Output
**DOS(E_F)**: 5.84 states/eV/f.u.
**Energy relative to the elements**: -354 meV/atom